{"formula": "HfBRh2Au", "functional": "meta-GGA SCAN", "state": "single point on PBEsol structure", "lattice": [[4.894, 0.000, 0.000], [0.000, 4.894, 0.000], [0.000, 0.000, 3.790]], "species": ["Hf", "B", "Rh", "Rh", "Au"], "fractional_positions": [[0.000, 0.000, 0.000], [0.500, 0.500, 0.000], [0.000, 0.500, 0.500], [0.500, 0.000, 0.500], [0.500, 0.500, 0.500]], "crystal_system": "tetragonal", "sg": "P4/mmm (123)", "formation_enthalpy_0k_ev_per_atom": 0.969}

{"formula": "Hf2ZnBAu", "functional": "meta-GGA SCAN", "state": "single point on PBEsol structure", "lattice": [[4.930, 0.000, 0.000], [0.000, 4.930, 0.000], [0.000, 0.000, 3.645]], "species": ["Hf", "Hf", "Zn", "B", "Au"], "fractional_positions": [[0.000, 0.500, 0.000], [0.500, 0.000, 0.000], [0.000, 0.000, 0.000], [0.000, 0.000, 0.500], [0.500, 0.500, 0.500]], "crystal_system": "tetragonal", "sg": "P4/mmm (123)", "formation_enthalpy_0k_ev_per_atom": 0.527}

{"formula": "BAuI2N", "functional": "meta-GGA SCAN", "state": "single point on PBEsol structure", "lattice": [[6.305, 0.000, 0.000], [0.000, 6.305, 0.000], [0.000, 0.000, 2.741]], "species": ["B", "Au", "I", "I", "N"], "fractional_positions": [[0.000, 0.000, 0.000], [0.500, 0.500, 0.500], [0.000, 0.500, 0.000], [0.500, 0.000, 0.000], [0.000, 0.000, 0.500]], "crystal_system": "tetragonal", "final_energy_ev_per_atom": -31.672, "sg": "P4/mmm (123)"}

What did we get for total magnetization? Answer: 0.00, 0.00, 0.00 μB/f.u., in the order shown.
What did we get for DOS(E_F)? Answer: 4.3, 3.9, 1.5 states/eV per cell, in the order shown.